(1)
Material: PrMn3B4O12
Method: DFT, PBE with a Hubbard U
State: optimized geometry

Cell: 6.201 6.201 6.201 Å, 103.44 103.44 103.44°
Fractional positions:
Pr (0.000, 0.000, 0.000)
Mn (0.000, 0.548, 0.452)
Mn (0.452, 0.000, 0.548)
Mn (0.548, 0.452, 0.000)
B (0.051, 0.500, 0.949)
B (0.500, 0.500, 0.500)
B (0.500, 0.949, 0.051)
B (0.949, 0.051, 0.500)
O (0.024, 0.625, 0.794)
O (0.093, 0.907, 0.500)
O (0.206, 0.375, 0.976)
O (0.357, 0.643, 0.500)
O (0.375, 0.976, 0.206)
O (0.500, 0.093, 0.907)
O (0.500, 0.357, 0.643)
O (0.625, 0.794, 0.024)
O (0.643, 0.500, 0.357)
O (0.794, 0.024, 0.625)
O (0.907, 0.500, 0.093)
O (0.976, 0.206, 0.375)


(2)
Material: Rb2MnBO4
Method: DFT, PBE with a Hubbard U
State: optimized geometry

Cell: 11.893 10.691 6.207 Å, 85.08 63.59 31.33°
Fractional positions:
Rb (0.049, 0.049, 0.701)
Rb (0.299, 0.299, 0.951)
Rb (0.701, 0.701, 0.049)
Rb (0.951, 0.951, 0.299)
Mn (0.125, 0.125, 0.125)
Mn (0.875, 0.875, 0.875)
B (0.375, 0.375, 0.375)
B (0.625, 0.625, 0.625)
O (0.065, 0.607, 0.539)
O (0.290, 0.539, 0.607)
O (0.393, 0.935, 0.710)
O (0.461, 0.710, 0.935)
O (0.539, 0.290, 0.065)
O (0.607, 0.065, 0.290)
O (0.710, 0.461, 0.393)
O (0.935, 0.393, 0.461)


(3)
Material: RbMnBO3
Method: DFT, PBE with a Hubbard U
State: optimized geometry

Cell: 6.454 6.454 10.166 Å, 90.00 90.00 154.61°
Fractional positions:
Rb (0.197, 0.803, 0.750)
Rb (0.803, 0.197, 0.250)
Mn (0.000, 0.000, 0.000)
Mn (0.000, 0.000, 0.500)
B (0.450, 0.550, 0.750)
B (0.550, 0.450, 0.250)
O (0.113, 0.887, 0.250)
O (0.484, 0.516, 0.130)
O (0.484, 0.516, 0.370)
O (0.516, 0.484, 0.630)
O (0.516, 0.484, 0.870)
O (0.887, 0.113, 0.750)


(4)
Material: ScMnB2O
Method: DFT, PBE with a Hubbard U
State: optimized geometry

Cell: 4.003 4.003 3.911 Å, 90.00 90.00 90.00°
Fractional positions:
Sc (0.000, 0.000, 0.000)
Mn (0.500, 0.500, 0.000)
B (0.000, 0.500, 0.500)
B (0.500, 0.000, 0.500)
O (0.000, 0.000, 0.500)


(5)
Material: MnSiB2O6
Method: DFT, PBE with a Hubbard U
State: optimized geometry

Cell: 5.886 5.886 4.527 Å, 96.82 96.82 88.81°
Fractional positions:
Mn (0.087, 0.913, 0.750)
Mn (0.913, 0.087, 0.250)
Si (0.285, 0.715, 0.250)
Si (0.715, 0.285, 0.750)
B (0.221, 0.397, 0.718)
B (0.397, 0.221, 0.218)
B (0.603, 0.779, 0.782)
B (0.779, 0.603, 0.282)
O (0.019, 0.243, 0.661)
O (0.170, 0.605, 0.895)
O (0.243, 0.019, 0.161)
O (0.288, 0.426, 0.390)
O (0.395, 0.830, 0.605)
O (0.426, 0.288, 0.890)
O (0.574, 0.712, 0.110)
O (0.605, 0.170, 0.395)
O (0.712, 0.574, 0.610)
O (0.757, 0.981, 0.839)
O (0.830, 0.395, 0.105)
O (0.981, 0.757, 0.339)


(6)
Material: MnSn2B2O6
Method: DFT, PBE with a Hubbard U
State: optimized geometry

Cell: 5.166 5.166 7.207 Å, 109.03 109.03 67.25°
Fractional positions:
Mn (0.000, 0.000, 0.000)
Sn (0.224, 0.224, 0.715)
Sn (0.776, 0.776, 0.285)
B (0.442, 0.442, 0.159)
B (0.558, 0.558, 0.841)
O (0.256, 0.668, 0.784)
O (0.271, 0.271, 0.043)
O (0.332, 0.744, 0.216)
O (0.668, 0.256, 0.784)
O (0.729, 0.729, 0.957)
O (0.744, 0.332, 0.216)


no.,DFT total energy (eV per atom)
1,-7.895
2,-6.109
3,-6.558
4,-5.966
5,-7.525
6,-7.128